1.
A geometry-optimized Ca2MgZr structure, computed with PBEsol.

Unit cell a=5.4151 b=5.4151 c=5.4151 alpha=60.00 beta=60.00 gamma=60.00
Closest atoms and distances in Å follow each position.
Sites, in units of the cell vectors:
Zr 0.2500 0.2500 0.2500  4 Ca 3.32, 4 Mg 3.32
Mg 0.5000 0.5000 0.5000  4 Zr 3.32, 4 Ca 3.32
Ca 0.7500 0.7500 0.7500  4 Mg 3.32, 4 Ca 3.32
Ca 0.0000 0.0000 0.0000  4 Ca 3.32, 4 Zr 3.32

Its size of the total moment is 0.000 μB/atom. As for the crystal system: cubic. Its symmetry is F-43m (216). The formation energy from the elements comes out at 0.33 eV/atom. For the density of states at the Fermi level, the calculation gives 4.83 states/eV per cell.

2.
A geometry-optimized LiCeGe2 structure, computed with PBEsol.

Unit cell a=3.9198 b=7.6954 c=10.4509 alpha=90.00 beta=90.00 gamma=90.00
Closest atoms and distances in Å follow each position.
Sites, in units of the cell vectors:
Ge 0.7500 0.3438 0.3097  2 Ge 2.51, 2 Li 2.52-2.69
Ge 0.2500 0.2323 0.4356  2 Ge 2.51, 3 Li 2.59-2.62
Ge 0.2500 0.7323 0.0644  2 Ge 2.51, 3 Li 2.59-2.62
Ge 0.7500 0.2677 0.9356  2 Ge 2.51, 3 Li 2.59-2.62
Ge 0.2500 0.6562 0.6903  2 Ge 2.51, 2 Li 2.52-2.69
Ge 0.2500 0.1562 0.8097  2 Ge 2.51, 2 Li 2.52-2.69
Ge 0.7500 0.8438 0.1903  2 Ge 2.51, 2 Li 2.52-2.69
Ge 0.7500 0.7677 0.5644  2 Ge 2.51, 3 Li 2.59-2.62
Ce 0.2500 0.6369 0.3645  8 Ge 3.04-3.22
Ce 0.7500 0.3631 0.6355  8 Ge 3.04-3.22
Ce 0.2500 0.1369 0.1355  8 Ge 3.04-3.22
Ce 0.7500 0.8631 0.8645  8 Ge 3.04-3.22
Li 0.2500 0.9862 0.6042  5 Ge 2.52-2.69
Li 0.2500 0.4862 0.8958  5 Ge 2.52-2.69
Li 0.7500 0.0138 0.3958  5 Ge 2.52-2.69
Li 0.7500 0.5138 0.1042  5 Ge 2.52-2.69

Its size of the total moment is 0.192 μB/atom. As for the crystal system: orthorhombic. Its symmetry is Pnma (62). The formation energy from the elements comes out at -0.61 eV/atom. For the density of states at the Fermi level, the calculation gives 23.34 states/eV per cell.

3.
A geometry-optimized CeOs2 structure, computed with PBEsol.

Unit cell a=5.2988 b=5.2988 c=8.8033 alpha=90.00 beta=90.00 gamma=120.00
Closest atoms and distances in Å follow each position.
Sites, in units of the cell vectors:
Os 0.6596 0.8298 0.7500  6 Os 2.59-2.71
Os 0.0000 0.0000 0.5000  6 Os 2.70
Os 0.0000 0.0000 0.0000  6 Os 2.70
Os 0.1702 0.3404 0.7500  6 Os 2.59-2.71
Os 0.8298 0.1702 0.2500  6 Os 2.59-2.71
Os 0.1702 0.8298 0.7500  6 Os 2.59-2.71
Os 0.3404 0.1702 0.2500  6 Os 2.59-2.71
Os 0.8298 0.6596 0.2500  6 Os 2.59-2.71
Ce 0.6667 0.3333 0.5705  12 Os 3.09-3.19, 4 Ce 3.16-3.30
Ce 0.3333 0.6667 0.0705  12 Os 3.09-3.19, 4 Ce 3.16-3.30
Ce 0.6667 0.3333 0.9295  12 Os 3.09-3.19, 4 Ce 3.16-3.30
Ce 0.3333 0.6667 0.4295  12 Os 3.09-3.19, 4 Ce 3.16-3.30

Its size of the total moment is 0.000 μB/atom. As for the crystal system: hexagonal. Its symmetry is P6_3/mmc (194). The formation energy from the elements comes out at -0.19 eV/atom. For the density of states at the Fermi level, the calculation gives 13.09 states/eV per cell.

4.
A geometry-optimized BaLiIn structure, computed with PBEsol.

Unit cell a=3.9079 b=3.9079 c=6.6528 alpha=107.08 beta=107.08 gamma=90.00
Closest atoms and distances in Å follow each position.
Sites, in units of the cell vectors:
In 0.7017 0.7017 0.4034  4 Li 2.97
Ba 0.0062 0.0062 0.0124  5 Li 3.46-3.79, 5 In 3.64-3.69
Li 0.2921 0.2921 0.5842  4 In 2.97

Its size of the total moment is 0.000 μB/atom. As for the crystal system: tetragonal. Its symmetry is I4mm (107). The formation energy from the elements comes out at -0.24 eV/atom. For the density of states at the Fermi level, the calculation gives 1.12 states/eV per cell. For the energy above the most stable polymorph in this dataset, the calculation gives 34 meV/atom.

5.
A geometry-optimized Ni4Rh structure, computed with PBEsol.

Unit cell a=2.5323 b=2.5323 c=8.8609 alpha=98.22 beta=98.22 gamma=90.00
Closest atoms and distances in Å follow each position.
Sites, in units of the cell vectors:
Ni 0.3943 0.3943 0.7885  8 Ni 2.45-2.53, 4 Rh 2.56
Ni 0.2024 0.2024 0.4048  12 Ni 2.44-2.53
Ni 0.7976 0.7976 0.5952  12 Ni 2.44-2.53
Ni 0.6057 0.6057 0.2115  8 Ni 2.45-2.53, 4 Rh 2.56
Rh 0.0000 0.0000 0.0000  4 Rh 2.53, 8 Ni 2.56

Its size of the total moment is 0.623 μB/atom. As for the crystal system: tetragonal. Its symmetry is I4/mmm (139). The formation energy from the elements comes out at 0.05 eV/atom. For the density of states at the Fermi level, the calculation gives 8.65 states/eV per cell. For the energy above the most stable polymorph in this dataset, the calculation gives 29 meV/atom.

6.
A geometry-optimized Ta2Be2Co structure, computed with PBEsol.

Unit cell a=3.4343 b=5.9238 c=5.9238 alpha=90.00 beta=90.00 gamma=90.00
Closest atoms and distances in Å follow each position.
Sites, in units of the cell vectors:
Co 0.0000 0.0000 0.0000  4 Be 2.34
Co 0.0000 0.5000 0.5000  4 Be 2.34
Be 0.0000 0.1256 0.3744  1 Be 2.10, 2 Co 2.34
Be 0.0000 0.3744 0.8744  1 Be 2.10, 2 Co 2.34
Be 0.0000 0.6256 0.1256  1 Be 2.10, 2 Co 2.34
Be 0.0000 0.8744 0.6256  1 Be 2.10, 2 Co 2.34
Ta 0.5000 0.6749 0.8251  6 Be 2.40-2.49
Ta 0.5000 0.3251 0.1749  6 Be 2.40-2.49
Ta 0.5000 0.8251 0.3251  6 Be 2.40-2.49
Ta 0.5000 0.1749 0.6749  6 Be 2.40-2.49

Its size of the total moment is 0.000 μB/atom. As for the crystal system: tetragonal. Its symmetry is P4/mbm (127). The formation energy from the elements comes out at -0.23 eV/atom. For the density of states at the Fermi level, the calculation gives 5.02 states/eV per cell.

7.
A geometry-optimized BeAlAg structure, computed with PBEsol.

Unit cell a=2.9696 b=3.4934 c=4.5599 alpha=112.52 beta=109.00 gamma=90.00
Closest atoms and distances in Å follow each position.
Sites, in units of the cell vectors:
Ag 0.9946 0.9946 0.9892  5 Al 2.56-2.68, 5 Be 2.61-2.69
Al 0.6700 0.6700 0.3400  5 Ag 2.56-2.68, 5 Be 2.64
Be 0.3354 0.3354 0.6709  5 Ag 2.61-2.69, 5 Al 2.64

Its size of the total moment is 0.000 μB/atom. As for the crystal system: orthorhombic. Its symmetry is Imm2 (44). The formation energy from the elements comes out at 0.11 eV/atom. For the density of states at the Fermi level, the calculation gives 0.56 states/eV per cell.

8.
A geometry-optimized NiHgBr2 structure, computed with PBEsol.

Unit cell a=3.8110 b=3.8392 c=6.3468 alpha=90.00 beta=90.00 gamma=90.00
Closest atoms and distances in Å follow each position.
Sites, in units of the cell vectors:
Ni 0.0000 0.5000 0.5000  4 Br 2.70
Br 0.0000 0.0000 0.0000  4 Hg 2.70
Br 0.5000 0.0000 0.5000  4 Ni 2.70
Hg 0.5000 0.5000 0.0000  4 Br 2.70

The calculation puts the uncorrected formation energy at 320.5 meV per atom. Its size of the total moment is 0.199 μB/atom. As for the crystal system: orthorhombic. Its symmetry is Pmmm (47). For the density of states at the Fermi level, the calculation gives 6.40 states/eV per cell. For the energy above the most stable polymorph in this dataset, the calculation gives 431 meV/atom.

9.
A geometry-optimized TlRe2Mo structure, computed with PBEsol.

Unit cell a=3.1417 b=4.5079 c=5.3359 alpha=114.99 beta=107.12 gamma=90.00
Closest atoms and distances in Å follow each position.
Sites, in units of the cell vectors:
Mo 0.0000 0.5000 0.0000  4 Re 2.68, 4 Tl 2.75
Re 0.7378 0.7378 0.4755  2 Mo 2.68, 4 Re 2.76, 2 Tl 2.87
Re 0.2622 0.2622 0.5245  2 Mo 2.68, 4 Re 2.76, 2 Tl 2.87
Tl 0.5000 0.0000 0.0000  4 Mo 2.75, 4 Re 2.87

Its size of the total moment is 0.000 μB/atom. As for the crystal system: orthorhombic. Its symmetry is Immm (71). The formation energy from the elements comes out at 0.70 eV/atom. For the density of states at the Fermi level, the calculation gives 2.96 states/eV per cell. For the energy above the most stable polymorph in this dataset, the calculation gives 196 meV/atom.

10.
A geometry-optimized BaCdFe structure, computed with PBEsol.

Unit cell a=5.2785 b=5.2785 c=5.2785 alpha=60.00 beta=60.00 gamma=60.00
Closest atoms and distances in Å follow each position.
Sites, in units of the cell vectors:
Cd 0.0000 0.0000 0.0000  4 Ba 3.23
Ba 0.7500 0.7500 0.7500  4 Cd 3.23, 4 Fe 3.23
Fe 0.5000 0.5000 0.5000  4 Ba 3.23

Its size of the total moment is 0.922 μB/atom. As for the crystal system: cubic. Its symmetry is F-43m (216). The formation energy from the elements comes out at 1.16 eV/atom. For the density of states at the Fermi level, the calculation gives 5.75 states/eV per cell.

11.
A geometry-optimized SrLi2Pb structure, computed with PBEsol.

Unit cell a=4.4335 b=4.9081 c=4.9081 alpha=90.00 beta=90.00 gamma=90.00
Closest atoms and distances in Å follow each position.
Sites, in units of the cell vectors:
Sr 0.5000 0.0000 0.0000  8 Li 3.31, 4 Pb 3.47
Pb 0.5000 0.5000 0.5000  8 Li 3.31, 4 Sr 3.47
Li 0.0000 0.0000 0.5000  4 Pb 3.31, 4 Sr 3.31, 4 Li 3.47
Li 0.0000 0.5000 0.0000  4 Pb 3.31, 4 Sr 3.31, 4 Li 3.47

Its size of the total moment is 0.116 μB/atom. As for the crystal system: tetragonal. Its symmetry is P4/mmm (123). The formation energy from the elements comes out at -0.20 eV/atom. For the density of states at the Fermi level, the calculation gives 2.61 states/eV per cell.

12.
A geometry-optimized MgSb2Ru structure, computed with PBEsol.

Unit cell a=3.3949 b=4.8273 c=4.8273 alpha=102.58 beta=90.00 gamma=90.00
Closest atoms and distances in Å follow each position.
Sites, in units of the cell vectors:
Ru 0.5000 0.5000 0.5000  8 Sb 2.95, 2 Mg 3.02
Sb 0.0000 0.5000 0.0000  4 Ru 2.95, 4 Mg 2.95, 2 Sb 3.02
Sb 0.0000 0.0000 0.5000  4 Mg 2.95, 4 Ru 2.95, 2 Sb 3.02
Mg 0.5000 0.0000 0.0000  8 Sb 2.95, 2 Ru 3.02

The calculation puts the uncorrected formation energy at 135.0 meV per atom. Its size of the total moment is 0.000 μB/atom. As for the crystal system: orthorhombic. Its symmetry is Cmmm (65). For the density of states at the Fermi level, the calculation gives 3.38 states/eV per cell.

Question: Which of these has the highest size of the total moment?
Answer: BaCdFe

Question: Which of these has the highest size of the total moment?
Answer: BaCdFe